[1]
A relaxed Ga2Ag2Sn crystal, computed with PBE-GGA.

Properties
Relative energy among the computed polymorphs (meV per atom): 0.0
Crystal system: tetragonal
Space group: I4/mmm

CIF file:
```
data_Ga2Ag2Sn
_space_group_name_H-M_alt 'P 1'
_space_group_IT_number 1
_cell_length_a 6.838
_cell_length_b 6.838
_cell_length_c 6.838
_cell_angle_alpha 145.75
_cell_angle_beta 145.75
_cell_angle_gamma 49.22
loop_
_space_group_symop_operation_xyz
'x,y,z'
loop_
_atom_site_label
_atom_site_type_symbol
_atom_site_fract_x
_atom_site_fract_y
_atom_site_fract_z
Ag1 Ag 0.392 0.392 0.000
Ag2 Ag 0.608 0.608 0.000
Sn1 Sn 0.000 0.000 0.000
Ga1 Ga 0.750 0.250 0.500
Ga2 Ga 0.250 0.750 0.500
```

[2]
A relaxed TlFePtW crystal, computed with PBE-GGA.

Properties
Relative energy among the computed polymorphs (meV per atom): 0.0
Crystal system: cubic
Space group: F-43m

CIF file:
```
data_TlFePtW
_space_group_name_H-M_alt 'P 1'
_space_group_IT_number 1
_cell_length_a 4.536
_cell_length_b 4.536
_cell_length_c 4.536
_cell_angle_alpha 60.00
_cell_angle_beta 60.00
_cell_angle_gamma 60.00
loop_
_space_group_symop_operation_xyz
'x,y,z'
loop_
_atom_site_label
_atom_site_type_symbol
_atom_site_fract_x
_atom_site_fract_y
_atom_site_fract_z
Tl1 Tl 0.000 0.000 0.000
Pt1 Pt 0.250 0.250 0.250
W1 W 0.500 0.500 0.500
Fe1 Fe 0.750 0.750 0.750
```

[3]
A relaxed HoGa6Ni crystal, computed with PBE-GGA.

Properties
Crystal system: hexagonal
Space group: P-6m2

CIF file:
```
data_HoGa6Ni
_space_group_name_H-M_alt 'P 1'
_space_group_IT_number 1
_cell_length_a 6.213
_cell_length_b 6.213
_cell_length_c 4.237
_cell_angle_alpha 90.00
_cell_angle_beta 90.00
_cell_angle_gamma 120.00
loop_
_space_group_symop_operation_xyz
'x,y,z'
loop_
_atom_site_label
_atom_site_type_symbol
_atom_site_fract_x
_atom_site_fract_y
_atom_site_fract_z
Ga1 Ga 0.852 0.705 0.000
Ga2 Ga 0.295 0.148 0.000
Ga3 Ga 0.852 0.148 0.000
Ga4 Ga 0.521 0.479 0.500
Ga5 Ga 0.521 0.042 0.500
Ga6 Ga 0.958 0.479 0.500
Ho1 Ho 0.333 0.667 0.000
Ni1 Ni 0.000 0.000 0.500
```

[4]
A relaxed GdHoIr2 crystal, computed with PBE-GGA.

Properties
Energy of formation from the pure elements (eV per atom): -0.7378
Relative energy among the computed polymorphs (meV per atom): 58.3
Crystal system: orthorhombic
Space group: Pmc2_1

CIF file:
```
data_GdHoIr2
_space_group_name_H-M_alt 'P 1'
_space_group_IT_number 1
_cell_length_a 4.273
_cell_length_b 5.591
_cell_length_c 7.289
_cell_angle_alpha 90.00
_cell_angle_beta 90.00
_cell_angle_gamma 90.00
loop_
_space_group_symop_operation_xyz
'x,y,z'
loop_
_atom_site_label
_atom_site_type_symbol
_atom_site_fract_x
_atom_site_fract_y
_atom_site_fract_z
Ho1 Ho 0.500 0.868 0.823
Ho2 Ho 0.500 0.132 0.323
Gd1 Gd 0.000 0.369 0.676
Gd2 Gd 0.000 0.631 0.176
Ir1 Ir 0.500 0.620 0.463
Ir2 Ir 0.500 0.380 0.963
Ir3 Ir 0.000 0.114 0.038
Ir4 Ir 0.000 0.886 0.538
```

[5]
A relaxed Ge2Pt crystal, computed with PBE-GGA.

Properties
Crystal system: orthorhombic
Space group: Pnma

CIF file:
```
data_Ge2Pt
_space_group_name_H-M_alt 'P 1'
_space_group_IT_number 1
_cell_length_a 7.048
_cell_length_b 3.831
_cell_length_c 7.936
_cell_angle_alpha 90.00
_cell_angle_beta 90.00
_cell_angle_gamma 90.00
loop_
_space_group_symop_operation_xyz
'x,y,z'
loop_
_atom_site_label
_atom_site_type_symbol
_atom_site_fract_x
_atom_site_fract_y
_atom_site_fract_z
Ge1 Ge 0.870 0.250 0.089
Ge2 Ge 0.370 0.250 0.411
Ge3 Ge 0.984 0.250 0.655
Ge4 Ge 0.484 0.250 0.845
Ge5 Ge 0.630 0.750 0.589
Ge6 Ge 0.516 0.750 0.155
Ge7 Ge 0.016 0.750 0.345
Ge8 Ge 0.130 0.750 0.911
Pt1 Pt 0.745 0.250 0.397
Pt2 Pt 0.245 0.250 0.103
Pt3 Pt 0.255 0.750 0.603
Pt4 Pt 0.755 0.750 0.897
```

[6]
A relaxed AgHgO6 crystal, computed with PBE-GGA.

Properties
Crystal system: cubic
Space group: F-43m

CIF file:
```
data_AgHgO6
_space_group_name_H-M_alt 'P 1'
_space_group_IT_number 1
_cell_length_a 5.154
_cell_length_b 5.154
_cell_length_c 5.154
_cell_angle_alpha 60.00
_cell_angle_beta 60.00
_cell_angle_gamma 60.00
loop_
_space_group_symop_operation_xyz
'x,y,z'
loop_
_atom_site_label
_atom_site_type_symbol
_atom_site_fract_x
_atom_site_fract_y
_atom_site_fract_z
O1 O 0.280 0.280 0.720
O2 O 0.720 0.720 0.280
O3 O 0.720 0.280 0.720
O4 O 0.720 0.280 0.280
O5 O 0.280 0.720 0.720
O6 O 0.280 0.720 0.280
Ag1 Ag 0.000 0.000 0.000
Hg1 Hg 0.250 0.250 0.250
```

[7]
A relaxed Sr2GePd crystal, computed with PBE-GGA.

Properties
Crystal system: orthorhombic
Space group: Amm2

CIF file:
```
data_Sr2GePd
_space_group_name_H-M_alt 'P 1'
_space_group_IT_number 1
_cell_length_a 4.416
_cell_length_b 6.003
_cell_length_c 6.003
_cell_angle_alpha 47.52
_cell_angle_beta 90.00
_cell_angle_gamma 90.00
loop_
_space_group_symop_operation_xyz
'x,y,z'
loop_
_atom_site_label
_atom_site_type_symbol
_atom_site_fract_x
_atom_site_fract_y
_atom_site_fract_z
Sr1 Sr 0.000 0.359 0.359
Sr2 Sr 0.500 0.644 0.644
Pd1 Pd 0.500 0.941 0.941
Ge1 Ge 0.000 0.056 0.056
```

[8]
A relaxed PmSc crystal, computed with PBE-GGA.

Properties
Energy of formation from the pure elements (eV per atom): 0.7099
Relative energy among the computed polymorphs (meV per atom): 622.2
Crystal system: cubic
Space group: Fm-3m

CIF file:
```
data_PmSc
_space_group_name_H-M_alt 'P 1'
_space_group_IT_number 1
_cell_length_a 4.384
_cell_length_b 4.384
_cell_length_c 4.384
_cell_angle_alpha 60.00
_cell_angle_beta 60.00
_cell_angle_gamma 60.00
loop_
_space_group_symop_operation_xyz
'x,y,z'
loop_
_atom_site_label
_atom_site_type_symbol
_atom_site_fract_x
_atom_site_fract_y
_atom_site_fract_z
Pm1 Pm 0.000 0.000 0.000
Sc1 Sc 0.500 0.500 0.500
```

| no. | E (eV/atom) |
| --- | --- |
| 1 | -3.0744 |
| 2 | -6.8908 |
| 3 | -3.7224 |
| 4 | -7.4730 |
| 5 | -5.2946 |
| 6 | -2.8954 |
| 7 | -3.9116 |
| 8 | -4.8269 |